This record from the Open Quantum Materials Database describes an optimized crystal structure of Nb2AlCu. The functional is GGA-PBE.

Cell: 6.375 6.375 6.375 Å, 90.00 90.00 90.00°
Space group F-43m (No. 216)
One atom of each set of equivalent atoms:
Nb (0.000, 0.000, 0.000) [4 per cell]
Nb (0.250, 0.250, 0.250) [4 per cell]
Al (0.000, 0.000, 0.500) [4 per cell]
Cu (0.250, 0.250, 0.750) [4 per cell]

* electronic total energy: -6.7181 eV/atom